The following is a meta-GGA SCAN calculation of Cd3PdO at its PBEsol-relaxed geometry, from Alexandria via LeMat-Bulk.

## Properties
Raw formation energy   0.436 eV/atom
Total energy   -25.613 eV/atom

a b c (Å): 5.0555 5.0555 5.0555
angles (deg): 90.00 90.00 90.00
Fractional coordinates of all 5 atoms:
Cd (0.0000, 0.0000, 0.5000)
Cd (0.0000, 0.5000, 0.0000)
Cd (0.5000, 0.0000, 0.0000)
Pd (0.0000, 0.0000, 0.0000)
O (0.5000, 0.5000, 0.5000)